First-principles (GGA-PBEsol) data for an optimized crystal structure of BaNiTeI2, as listed in Alexandria via LeMat-Bulk.

Results
Space group: P4/mmm (123)
Energy relative to the elements, uncorrected (eV per atom): -0.783

Geometry as extended XYZ:
```
5
Lattice="5.264 0.000 0.000 0.000 5.264 0.000 0.000 0.000 5.350" Properties=species:S:1:pos:R:3 pbc="T T T"
Ba 0.000 0.000 0.000
Ni 2.632 2.632 2.675
Te 2.632 2.632 0.000
I 0.000 2.632 2.675
I 2.632 0.000 2.675
```